The following is a PBE calculation of a geometry-optimized Ho2ErInO structure, from the Alexandria database.

## Properties
**SG**: P4/mmm, No. 123
**M_tot**: 0.01 μB/cell
**VASP energy**: -5.70 eV per atom

Structure (POSCAR):
```
Ho2ErInO
1.0
-0.393 -4.667 0.638
4.476 -0.158 1.603
-1.561 0.737 4.432
Ho Er O In
2 1 1 1
Direct
0.000 0.500 0.000 Ho
0.000 0.000 0.500 Ho
0.500 0.000 0.000 Er
0.000 0.000 0.000 O
0.500 0.500 0.500 In
```

---

The following is a PBE calculation of a geometry-optimized TbHo2Cu structure, from the Alexandria database.

## Properties
**Energy of formation**: -0.10 eV/atom
**SG**: P4/mmm, No. 123
**Offset from the most stable computed form**: 5 meV/atom
**M_tot**: 0.00 μB/cell
**VASP energy**: -4.57 eV per atom

Structure (POSCAR):
```
TbHo2Cu
1.0
-1.263 -0.526 3.198
-3.188 -0.418 -1.328
1.455 -8.480 -0.821
Tb Ho Cu
1 2 1
Direct
0.500 0.500 0.500 Tb
0.000 0.000 0.803 Ho
0.000 0.000 0.197 Ho
0.500 0.500 0.000 Cu
```

---

The following is a PBE calculation of a geometry-optimized HfZrZnCo structure, from the Alexandria database.

## Properties
**Energy of formation**: -0.21 eV/atom
**SG**: F-43m, No. 216
**M_tot**: 1.02 μB/cell
**VASP energy**: -6.93 eV per atom

Structure (POSCAR):
```
HfZrZnCo
1.0
-2.041 2.458 3.312
0.312 -1.347 4.390
2.548 2.418 2.973
Hf Zn Zr Co
1 1 1 1
Direct
0.250 0.250 0.250 Hf
0.500 0.500 0.500 Zn
0.750 0.750 0.750 Zr
0.000 0.000 0.000 Co
```